{"formula": "Ac3PrPb4", "functional": "PBE-GGA", "state": "relaxed", "dft_energy_ev_per_atom": -4.482, "formation_enthalpy_0k_kj_per_mol_atoms": -47.2, "crystal_system": "monoclinic", "polymorph_energy_kj_per_mol_fu": 0.0, "lattice_angstrom": [[-4.310, -2.362, 3.568], [0.124, -4.040, -4.533], [7.324, -0.868, 4.189]], "species": ["Pr", "Pb", "Pb", "Pb", "Pb", "Ac", "Ac", "Ac"], "fractional_positions": [[0.500, 0.000, 0.000], [0.380, 0.380, 0.759], [0.620, 0.620, 0.241], [0.120, 0.120, 0.241], [0.880, 0.880, 0.759], [0.000, 0.500, 0.000], [0.746, 0.246, 0.492], [0.254, 0.754, 0.508]]}

{"formula": "Y3Mg2Cd", "functional": "PBE-GGA", "state": "relaxed", "dft_energy_ev_per_atom": -4.107, "formation_enthalpy_0k_kj_per_mol_atoms": -18.4, "crystal_system": "tetragonal", "polymorph_energy_kj_per_mol_fu": 1.7, "lattice_angstrom": [[-2.845, 1.294, 2.163], [2.099, -0.590, 3.114], [4.131, 10.432, -0.808]], "species": ["Y", "Y", "Y", "Mg", "Mg", "Cd"], "fractional_positions": [[0.000, 0.000, 0.000], [0.000, 0.000, 0.664], [0.000, 0.000, 0.336], [0.500, 0.500, 0.834], [0.500, 0.500, 0.166], [0.500, 0.500, 0.500]]}

{"formula": "DyHfRu2", "functional": "PBE-GGA", "state": "relaxed", "dft_energy_ev_per_atom": -8.870, "formation_enthalpy_0k_kj_per_mol_atoms": -57.3, "crystal_system": "tetragonal", "lattice_angstrom": [[3.299, 0.000, 0.000], [0.000, 3.299, 0.000], [0.000, 0.000, 6.713]], "species": ["Ru", "Ru", "Hf", "Dy"], "fractional_positions": [[0.000, 0.000, 0.769], [0.000, 0.000, 0.231], [0.500, 0.500, 0.000], [0.500, 0.500, 0.500]]}

{"formula": "DyY7Er3", "functional": "PBE-GGA", "state": "relaxed", "dft_energy_ev_per_atom": -5.508, "formation_enthalpy_0k_kj_per_mol_atoms": 25.8, "crystal_system": "monoclinic", "polymorph_energy_kj_per_mol_fu": 128.2, "lattice_angstrom": [[-0.987, -3.835, 4.204], [-4.208, -2.186, -6.958], [6.754, -2.288, -4.478]], "species": ["Dy", "Y", "Y", "Y", "Y", "Y", "Y", "Y", "Er", "Er", "Er"], "fractional_positions": [[0.500, 0.500, 0.500], [0.207, 0.206, 0.206], [0.303, 0.006, 0.601], [0.697, 0.399, 0.994], [0.303, 0.601, 0.006], [0.000, 0.500, 0.500], [0.697, 0.994, 0.399], [0.793, 0.794, 0.794], [0.000, 0.793, 0.207], [0.500, 0.000, 0.000], [0.000, 0.207, 0.793]]}

{"formula": "NdMn4Co8", "functional": "PBE-GGA", "state": "relaxed", "dft_energy_ev_per_atom": -7.510, "formation_enthalpy_0k_kj_per_mol_atoms": 4.9, "crystal_system": "tetragonal", "lattice_angstrom": [[-4.220, 4.220, 2.288], [4.220, -4.220, 2.288], [4.220, 4.220, -2.288]], "species": ["Nd", "Mn", "Mn", "Mn", "Mn", "Co", "Co", "Co", "Co", "Co", "Co", "Co", "Co"], "fractional_positions": [[0.000, 0.000, 0.000], [0.000, 0.500, 0.000], [0.500, 0.000, 0.000], [0.500, 0.500, 0.500], [0.000, 0.000, 0.500], [0.000, 0.360, 0.360], [0.000, 0.640, 0.640], [0.360, 0.000, 0.360], [0.640, 0.000, 0.640], [0.500, 0.268, 0.768], [0.500, 0.732, 0.232], [0.268, 0.500, 0.768], [0.732, 0.500, 0.232]]}

{"formula": "Ba2SiSb", "functional": "PBE-GGA", "state": "relaxed", "dft_energy_ev_per_atom": -3.723, "crystal_system": "cubic", "polymorph_energy_kj_per_mol_fu": 79.0, "e_form_raw_ev_per_atom": -0.376, "lattice_angstrom": [[0.000, 4.150, 4.150], [4.150, 0.000, 4.150], [4.150, 4.150, 0.000]], "species": ["Sb", "Si", "Ba", "Ba"], "fractional_positions": [[0.500, 0.500, 0.500], [0.000, 0.000, 0.000], [0.250, 0.250, 0.250], [0.750, 0.750, 0.750]]}

{"formula": "PrSm2Dy5Y", "functional": "PBE-GGA", "state": "relaxed", "dft_energy_ev_per_atom": -4.586, "formation_enthalpy_0k_kj_per_mol_atoms": 25.9, "crystal_system": "tetragonal", "lattice_angstrom": [[8.816, 0.000, 0.000], [0.000, 8.816, 0.000], [-4.408, -4.408, 7.649]], "species": ["Pr", "Pr", "Sm", "Sm", "Sm", "Sm", "Dy", "Dy", "Dy", "Dy", "Dy", "Dy", "Dy", "Dy", "Dy", "Dy", "Y", "Y"], "fractional_positions": [[0.250, 0.250, 0.500], [0.750, 0.750, 0.500], [0.115, 0.385, 0.000], [0.615, 0.115, 0.000], [0.385, 0.885, 0.000], [0.885, 0.615, 0.000], [0.926, 0.426, 0.271], [0.656, 0.156, 0.729], [0.074, 0.574, 0.729], [0.156, 0.074, 0.729], [0.574, 0.656, 0.729], [0.844, 0.926, 0.271], [0.426, 0.344, 0.271], [0.344, 0.844, 0.271], [0.500, 0.500, 0.000], [0.000, 0.000, 0.000], [0.250, 0.750, 0.500], [0.750, 0.250, 0.500]]}

{"formula": "Cd2TcAu", "functional": "PBE-GGA", "state": "relaxed", "dft_energy_ev_per_atom": -3.618, "formation_enthalpy_0k_kj_per_mol_atoms": 24.1, "crystal_system": "tetragonal", "polymorph_energy_kj_per_mol_fu": 9.2, "lattice_angstrom": [[-1.136, -3.780, 0.665], [0.055, -0.754, -4.191], [4.083, -1.181, 0.266]], "species": ["Au", "Cd", "Cd", "Tc"], "fractional_positions": [[0.500, 0.000, 0.500], [0.000, 0.000, 0.000], [0.000, 0.500, 0.500], [0.500, 0.500, 0.000]]}